Record 1
Entry from Alexandria via LeMat-Bulk: a geometry-optimized NaAlSe3 structure (PBE).

The calculation puts the energy relative to the elements, uncorrected at 632 meV/atom.

Cell lengths 5.262, 5.262, 5.262 Å; angles 90.00, 90.00, 90.00 degrees
Space group Pm-3m (No. 221)
Inequivalent atoms, fractional coordinates:
Na (0.000, 0.000, 0.000) (multiplicity 1)
Al (0.500, 0.500, 0.500) (multiplicity 1)
Se (0.000, 0.000, 0.500) (multiplicity 3)



Record 2
Entry from Alexandria via LeMat-Bulk: a geometry-optimized LiMnPt2 structure (PBE).

The total energy comes out at -6.1520 eV per atom.

Cell lengths 2.765, 4.000, 5.300 Å; angles 90.00, 90.00, 90.00 degrees
Space group Pmm2 (No. 25)
Inequivalent atoms, fractional coordinates:
Li (0.000, 0.000, 0.000) (multiplicity 1)
Mn (0.500, 0.500, 0.286) (multiplicity 1)
Pt (0.000, 0.000, 0.498) (multiplicity 1)
Pt (0.500, 0.500, 0.798) (multiplicity 1)



Record 3
Entry from Alexandria via LeMat-Bulk: a geometry-optimized Sm12Tl5Ru2 structure (PBE).

The total energy comes out at -4.6940 eV per atom.

Cell lengths 17.320, 7.835, 9.945 Å; angles 90.00, 106.56, 90.00 degrees
Space group C2/m (No. 12)
Inequivalent atoms, fractional coordinates:
Sm (0.001, 0.000, 0.229) (multiplicity 4)
Sm (0.004, 0.500, 0.821) (multiplicity 4)
Sm (0.152, 0.254, 0.574) (multiplicity 8)
Sm (0.162, 0.235, 0.085) (multiplicity 8)
Tl (0.000, 0.500, 0.500) (multiplicity 2)
Tl (0.192, 0.000, 0.836) (multiplicity 4)
Tl (0.196, 0.000, 0.362) (multiplicity 4)
Ru (0.000, 0.215, 0.000) (multiplicity 4)



Record 4
Entry from Alexandria via LeMat-Bulk: a geometry-optimized Ca2TcAs structure (PBE).

The total energy comes out at -4.6348 eV per atom.

Cell lengths 4.445, 4.445, 8.549 Å; angles 90.00, 90.00, 90.00 degrees
Space group I-4m2 (No. 119)
Inequivalent atoms, fractional coordinates:
Ca (0.000, 0.000, 0.000) (multiplicity 2)
Ca (0.000, 0.500, 0.250) (multiplicity 2)
Tc (0.000, 0.500, 0.750) (multiplicity 2)
As (0.000, 0.000, 0.500) (multiplicity 2)



Record 5
Entry from Alexandria via LeMat-Bulk: a geometry-optimized Li2YMn structure (PBE).

The total energy comes out at -4.4395 eV per atom.

Cell lengths 3.781, 4.866, 9.376 Å; angles 90.00, 90.00, 90.00 degrees
Space group Cmmm (No. 65)
Inequivalent atoms, fractional coordinates:
Li (0.000, 0.000, 0.217) (multiplicity 4)
Y (0.000, 0.500, 0.500) (multiplicity 2)
Mn (0.000, 0.500, 0.000) (multiplicity 2)



Record 6
Entry from Alexandria via LeMat-Bulk: a geometry-optimized LiCu2Sn structure (PBE).

The total energy comes out at -3.7157 eV per atom.

Cell lengths 4.3125, 4.3125, 7.6886 Å; angles 90.00, 90.00, 120.00 degrees
Space group P6_3/mmc (No. 194)
Inequivalent atoms, fractional coordinates:
Li (0.0000, 0.0000, 0.0000) (multiplicity 2)
Cu (0.3333, 0.6667, 0.0890) (multiplicity 4)
Sn (0.3333, 0.6667, 0.7500) (multiplicity 2)